A plane-wave DFT calculation with PBE was carried out for a relaxed structure of PrZnHgAu. Values from VASP.

Cell and atoms, written as Quantum ESPRESSO input:
```
&SYSTEM
  ibrav = 0, nat = 16, ntyp = 4
/
ATOMIC_SPECIES
Pr 140.91 Pr.upf
Zn 65.41 Zn.upf
Hg 200.59 Hg.upf
Au 196.97 Au.upf
CELL_PARAMETERS angstrom
7.077 0.000 0.000
0.000 7.077 0.000
0.000 0.000 7.077
ATOMIC_POSITIONS crystal
Pr 0.000 0.000 0.000
Pr 0.000 0.500 0.500
Pr 0.500 0.000 0.500
Pr 0.500 0.500 0.000
Zn 0.250 0.250 0.750
Zn 0.250 0.750 0.250
Zn 0.750 0.250 0.250
Zn 0.750 0.750 0.750
Hg 0.000 0.000 0.500
Hg 0.000 0.500 0.000
Hg 0.500 0.000 0.000
Hg 0.500 0.500 0.500
Au 0.250 0.250 0.250
Au 0.250 0.750 0.750
Au 0.750 0.250 0.750
Au 0.750 0.750 0.250
```

Results
Symmetry = F-43m
Energy of formation from the pure elements = -435 meV per atom

---

A plane-wave DFT calculation with PBE was carried out for a relaxed structure of Pr2Zn4HgAu3. Values from VASP.

Cell and atoms, written as Quantum ESPRESSO input:
```
&SYSTEM
  ibrav = 0, nat = 10, ntyp = 4
/
ATOMIC_SPECIES
Pr 140.91 Pr.upf
Zn 65.41 Zn.upf
Hg 200.59 Hg.upf
Au 196.97 Au.upf
CELL_PARAMETERS angstrom
4.321 0.000 0.000
0.000 4.321 0.000
0.000 0.000 11.374
ATOMIC_POSITIONS crystal
Pr 0.000 0.500 0.239
Pr 0.500 0.000 0.761
Zn 0.000 0.000 0.000
Zn 0.000 0.500 0.641
Zn 0.500 0.000 0.359
Zn 0.500 0.500 0.000
Hg 0.000 0.000 0.500
Au 0.000 0.500 0.865
Au 0.500 0.000 0.135
Au 0.500 0.500 0.500
```

Results
Symmetry = P-4m2
Energy of formation from the pure elements = -472 meV per atom

---

A plane-wave DFT calculation with PBE was carried out for a relaxed structure of PrZrHgAu. Values from VASP.

Cell and atoms, written as Quantum ESPRESSO input:
```
&SYSTEM
  ibrav = 0, nat = 16, ntyp = 4
/
ATOMIC_SPECIES
Pr 140.91 Pr.upf
Zr 91.22 Zr.upf
Hg 200.59 Hg.upf
Au 196.97 Au.upf
CELL_PARAMETERS angstrom
7.308 0.000 0.000
0.000 7.308 0.000
0.000 0.000 7.308
ATOMIC_POSITIONS crystal
Pr 0.000 0.000 0.000
Pr 0.000 0.500 0.500
Pr 0.500 0.000 0.500
Pr 0.500 0.500 0.000
Zr 0.000 0.000 0.500
Zr 0.000 0.500 0.000
Zr 0.500 0.000 0.000
Zr 0.500 0.500 0.500
Hg 0.250 0.250 0.750
Hg 0.250 0.750 0.250
Hg 0.750 0.250 0.250
Hg 0.750 0.750 0.750
Au 0.250 0.250 0.250
Au 0.250 0.750 0.750
Au 0.750 0.250 0.750
Au 0.750 0.750 0.250
```

Results
Symmetry = F-43m
Energy of formation from the pure elements = -328 meV per atom

---

A plane-wave DFT calculation with PBE was carried out for a relaxed structure of HgPtAu. Values from VASP.

Cell and atoms, written as Quantum ESPRESSO input:
```
&SYSTEM
  ibrav = 0, nat = 6, ntyp = 3
/
ATOMIC_SPECIES
Hg 200.59 Hg.upf
Pt 195.08 Pt.upf
Au 196.97 Au.upf
CELL_PARAMETERS angstrom
3.014 0.000 0.000
0.000 4.028 0.000
0.000 0.000 8.992
ATOMIC_POSITIONS crystal
Hg 0.000 0.000 0.000
Hg 0.500 0.500 0.500
Pt 0.000 0.000 0.664
Pt 0.500 0.500 0.164
Au 0.000 0.000 0.327
Au 0.500 0.500 0.827
```

Results
Symmetry = Imm2
Energy of formation from the pure elements = 71 meV per atom
Relative energy among the computed polymorphs = 0.0835 eV/atom

---

A plane-wave DFT calculation with PBE was carried out for a relaxed structure of HgPt2Au. Values from VASP.

Cell and atoms, written as Quantum ESPRESSO input:
```
&SYSTEM
  ibrav = 0, nat = 4, ntyp = 3
/
ATOMIC_SPECIES
Hg 200.59 Hg.upf
Pt 195.08 Pt.upf
Au 196.97 Au.upf
CELL_PARAMETERS angstrom
2.899 0.000 0.000
0.000 4.549 0.000
-1.247 0.000 5.397
ATOMIC_POSITIONS crystal
Hg 0.000 0.000 0.000
Pt 0.602 0.500 0.203
Pt 0.681 0.000 0.485
Au 0.281 0.500 0.676
```

Results
Symmetry = Pm
Energy of formation from the pure elements = 95 meV per atom

---

A plane-wave DFT calculation with PBE was carried out for a relaxed structure of Hg3PtAu. Values from VASP.

Cell and atoms, written as Quantum ESPRESSO input:
```
&SYSTEM
  ibrav = 0, nat = 5, ntyp = 3
/
ATOMIC_SPECIES
Hg 200.59 Hg.upf
Pt 195.08 Pt.upf
Au 196.97 Au.upf
CELL_PARAMETERS angstrom
5.251 0.000 0.000
0.000 5.251 0.000
0.000 0.000 5.251
ATOMIC_POSITIONS crystal
Hg 0.000 0.000 0.500
Hg 0.000 0.500 0.000
Hg 0.500 0.000 0.000
Pt 0.000 0.000 0.000
Au 0.500 0.500 0.500
```

Results
Symmetry = Pm-3m
Energy of formation from the pure elements = 307 meV per atom
Relative energy among the computed polymorphs = 0.0000 eV/atom

---

A plane-wave DFT calculation with PBE was carried out for a relaxed structure of HgPt2Au. Values from VASP.

Cell and atoms, written as Quantum ESPRESSO input:
```
&SYSTEM
  ibrav = 0, nat = 12, ntyp = 3
/
ATOMIC_SPECIES
Hg 200.59 Hg.upf
Pt 195.08 Pt.upf
Au 196.97 Au.upf
CELL_PARAMETERS angstrom
2.928 0.000 0.000
-1.464 2.536 0.000
0.000 0.000 28.241
ATOMIC_POSITIONS crystal
Hg 0.000 0.000 0.000
Hg 0.333 0.667 0.667
Hg 0.667 0.333 0.333
Pt 0.000 0.000 0.417
Pt 0.000 0.000 0.583
Pt 0.333 0.667 0.083
Pt 0.333 0.667 0.250
Pt 0.667 0.333 0.750
Pt 0.667 0.333 0.917
Au 0.000 0.000 0.833
Au 0.333 0.667 0.500
Au 0.667 0.333 0.166
```

Results
Symmetry = R3m
Energy of formation from the pure elements = 98 meV per atom

---

A plane-wave DFT calculation with PBE was carried out for a relaxed structure of HgPt2Au. Values from VASP.

Cell and atoms, written as Quantum ESPRESSO input:
```
&SYSTEM
  ibrav = 0, nat = 8, ntyp = 3
/
ATOMIC_SPECIES
Hg 200.59 Hg.upf
Pt 195.08 Pt.upf
Au 196.97 Au.upf
CELL_PARAMETERS angstrom
5.698 0.000 0.000
0.000 9.941 0.000
-1.439 0.000 2.488
ATOMIC_POSITIONS crystal
Hg 0.000 0.000 0.000
Hg 0.500 0.500 0.000
Pt 0.250 0.250 0.500
Pt 0.250 0.750 0.500
Pt 0.750 0.250 0.500
Pt 0.750 0.750 0.500
Au 0.000 0.500 0.000
Au 0.500 0.000 0.000
```

Results
Symmetry = C2/m
Energy of formation from the pure elements = 78 meV per atom

---

Final energy for the records above, in order: -2.844; -2.951; -4.555; -3.135; -3.820; -1.738; -3.818; -3.838 eV per atom